1.
A plane-wave DFT calculation with PBE was carried out for an optimized crystal structure of Nd4InGe2.

Cell: 8.058 8.058 8.070 Å, 109.41 109.41 109.53°
Sites, in units of the cell vectors:
Nd  0.005  0.260  0.395
Nd  0.385  0.490  0.244
Nd  0.865  0.610  0.605
Nd  0.740  0.135  0.744
Nd  0.390  0.995  0.256
Nd  0.245  0.140  0.756
Nd  0.510  0.755  0.895
Nd  0.860  0.615  0.105
In  0.250  0.750  0.500
In  0.000  0.000  0.000
Ge  0.494  0.375  0.619
Ge  0.756  0.875  0.381
Ge  0.625  0.244  0.119
Ge  0.125  0.506  0.881

## Properties
- magnetic moment (μB per formula unit) = 0.000
- ΔH_f (0 K) (eV/atom) = -0.622


2.
A plane-wave DFT calculation with PBE was carried out for an optimized crystal structure of K4Na2In.

Cell: 6.814 6.814 10.667 Å, 108.63 108.63 90.00°
Sites, in units of the cell vectors:
Na  0.606  0.606  0.213
Na  0.394  0.394  0.787
K  0.813  0.813  0.625
K  0.187  0.187  0.375
K  0.000  0.500  0.000
K  0.500  0.000  0.000
In  0.000  0.000  0.000

## Properties
- magnetic moment (μB per formula unit) = 0.000
- ΔH_f (0 K) (eV/atom) = 0.143


3.
A plane-wave DFT calculation with PBE was carried out for an optimized crystal structure of Sm2Sc3Sn4.

Cell: 6.628 8.633 8.938 Å, 90.00 111.76 90.00°
Sites, in units of the cell vectors:
Sm  0.113  0.588  0.227
Sm  0.887  0.412  0.773
Sm  0.387  0.088  0.773
Sm  0.613  0.912  0.227
Sc  0.000  0.000  0.000
Sc  0.500  0.500  0.000
Sc  0.541  0.750  0.582
Sc  0.959  0.250  0.418
Sc  0.459  0.250  0.418
Sc  0.041  0.750  0.582
Sn  0.715  0.750  0.930
Sn  0.785  0.250  0.070
Sn  0.285  0.250  0.070
Sn  0.215  0.750  0.930
Sn  0.187  0.947  0.374
Sn  0.813  0.053  0.626
Sn  0.313  0.447  0.626
Sn  0.687  0.553  0.374

## Properties
- magnetic moment (μB per formula unit) = 0.001
- ΔH_f (0 K) (eV/atom) = -0.643


4.
A plane-wave DFT calculation with PBE was carried out for an optimized crystal structure of Tb3DyAl3.

Cell: 7.259 7.259 6.939 Å, 90.00 90.00 89.78°
Sites, in units of the cell vectors:
Tb  0.744  0.744  0.500
Tb  0.255  0.745  0.500
Tb  0.745  0.255  0.500
Tb  0.259  0.741  0.000
Tb  0.741  0.259  0.000
Tb  0.256  0.256  0.500
Dy  0.746  0.746  0.000
Dy  0.254  0.254  0.000
Al  0.000  0.000  0.247
Al  0.000  0.500  0.751
Al  0.500  0.000  0.751
Al  0.000  0.500  0.249
Al  0.500  0.000  0.249
Al  0.000  0.000  0.753

## Properties
- magnetic moment (μB per formula unit) = 0.000
- ΔH_f (0 K) (eV/atom) = -0.266


5.
A plane-wave DFT calculation with PBE was carried out for an optimized crystal structure of CaSbRh2O.

Cell: 4.368 4.403 4.368 Å, 90.00 90.00 90.00°
Site moments in Bohr magnetons follow the coordinates.
Sites, in units of the cell vectors:
Sb  0.500  0.500  0.500  -0.01
Ca  0.000  0.500  0.000  0.00
Rh  0.000  0.000  0.500  0.12
Rh  0.500  0.000  0.000  0.12
O  0.000  0.000  0.000  0.01

## Properties
- magnetic moment (μB per formula unit) = 0.225
- VASP energy (eV/atom) = -5.722


6.
A plane-wave DFT calculation with PBE was carried out for an optimized crystal structure of KSrAl4.

Cell: 5.886 5.886 5.886 Å, 60.00 60.00 60.00°
Sites, in units of the cell vectors:
K  0.750  0.750  0.750
Sr  0.000  0.000  0.000
Al  0.875  0.375  0.375
Al  0.375  0.375  0.875
Al  0.375  0.875  0.375
Al  0.375  0.375  0.375

## Properties
- magnetic moment (μB per formula unit) = 0.000
- ΔH_f (0 K) (eV/atom) = -0.029


7.
A plane-wave DFT calculation with PBE was carried out for an optimized crystal structure of RbAsPtRh.

Cell: 3.891 3.891 13.158 Å, 90.00 90.00 90.00°
Sites, in units of the cell vectors:
Rb  0.750  0.750  0.287
Rb  0.250  0.250  0.713
As  0.750  0.750  0.889
As  0.250  0.250  0.111
Pt  0.250  0.750  0.500
Pt  0.750  0.250  0.500
Rh  0.750  0.250  0.000
Rh  0.250  0.750  0.000

## Properties
- magnetic moment (μB per formula unit) = 0.000
- ΔH_f (0 K) (eV/atom) = -0.303


8.
A plane-wave DFT calculation with PBE was carried out for an optimized crystal structure of CsPbSF.

Cell: 4.923 4.923 12.870 Å, 90.00 90.00 120.00°
Sites, in units of the cell vectors:
Cs  0.333  0.667  0.926
Cs  0.667  0.333  0.426
Pb  0.000  0.000  0.179
Pb  0.000  0.000  0.679
S  0.667  0.333  0.709
S  0.333  0.667  0.209
F  0.000  0.000  0.499
F  0.000  0.000  0.999

## Properties
- magnetic moment (μB per formula unit) = 0.000
- VASP energy (eV/atom) = -4.156


9.
A plane-wave DFT calculation with PBE was carried out for an optimized crystal structure of NaCr2PdPt.

Cell: 4.282 4.509 4.282 Å, 90.00 90.00 90.00°
Sites, in units of the cell vectors:
Cr  0.000  0.000  0.500
Cr  0.500  0.000  0.000
Pd  0.500  0.500  0.500
Pt  0.000  0.500  0.000
Na  0.000  0.000  0.000

## Properties
- magnetic moment (μB per formula unit) = 0.004
- ΔH_f (0 K) (eV/atom) = 2.167


10.
A plane-wave DFT calculation with PBE was carried out for an optimized crystal structure of ErAl11Fe.

Cell: 5.137 7.091 6.773 Å, 82.84 67.72 70.81°
Sites, in units of the cell vectors:
Er  0.000  0.000  0.000
Al  0.286  0.229  0.214
Al  0.714  0.771  0.786
Al  0.500  0.771  0.214
Al  0.500  0.229  0.786
Al  0.365  0.638  0.657
Al  0.635  0.362  0.343
Al  0.978  0.362  0.657
Al  0.022  0.638  0.343
Al  0.000  0.500  0.000
Al  0.500  0.000  0.500
Al  0.000  0.000  0.500
Fe  0.500  0.500  0.000

## Properties
- magnetic moment (μB per formula unit) = 0.000
- ΔH_f (0 K) (eV/atom) = -0.175